(1)
# CrInSe

A geometry-optimized CrInSe structure (PBE, the Alexandria database).

a = 4.6687 Å, b = 4.6687 Å, c = 4.6687 Å
α = 60.00°, β = 60.00°, γ = 60.00°
With the nearest neighbours (Å) after each atom.
Element x y z (fractional)
Cr  0.7500  0.7500  0.7500  4 Se 2.86, 4 In 2.86
In  0.0000  0.0000  0.0000  4 Cr 2.86
Se  0.5000  0.5000  0.5000  4 Cr 2.86

Properties
Total magnetic moment = 4.686 μB/cell
DFT total energy = -5.149 eV per atom
Uncorrected formation energy = 12.8 kJ/mol of atoms
Crystal system = cubic

***

(2)
# TbNdAl

A geometry-optimized TbNdAl structure (PBE, the Alexandria database).

a = 3.6592 Å, b = 5.1313 Å, c = 5.1313 Å
α = 120.00°, β = 90.00°, γ = 90.00°
With the nearest neighbours (Å) after each atom.
Element x y z (fractional)
Nd  0.9631  0.0000  0.0000  3 Al 3.19, 3 Tb 3.36
Tb  0.3978  0.6667  0.3333  3 Al 3.09, 3 Nd 3.36
Al  0.6391  0.3333  0.6667  3 Tb 3.09, 3 Nd 3.19

Properties
Total magnetic moment = 0.000 μB/cell
DFT total energy = -4.520 eV per atom
Crystal system = trigonal

***

(3)
# RhSe2BrO

A geometry-optimized RhSe2BrO structure (PBE, the Alexandria database).

a = 4.7872 Å, b = 4.7872 Å, c = 5.1045 Å
α = 90.00°, β = 90.00°, γ = 90.00°
With the nearest neighbours (Å) after each atom.
Element x y z (fractional)
O  0.5000  0.5000  0.5000  4 Br 3.39, 8 Se 3.50
Rh  0.0000  0.0000  0.0000  4 Se 2.39, 2 Br 2.55
Se  0.0000  0.5000  0.0000  2 Rh 2.39
Se  0.5000  0.0000  0.0000  2 Rh 2.39
Br  0.0000  0.0000  0.5000  2 Rh 2.55

Properties
Total magnetic moment = 0.000 μB/cell
DFT total energy = -3.299 eV per atom
Uncorrected formation energy = 86.0 kJ/mol of atoms
Crystal system = tetragonal

***

(4)
# TlOF3

A geometry-optimized TlOF3 structure (PBE, the Alexandria database).

a = 6.6098 Å, b = 6.6098 Å, c = 6.6098 Å
α = 55.59°, β = 55.59°, γ = 55.59°
With the nearest neighbours (Å) after each atom.
Element x y z (fractional)
Tl  0.3304  0.3304  0.3304  6 F 2.21-2.23
Tl  0.6696  0.6696  0.6696  6 F 2.21-2.23
O  0.8863  0.8863  0.8863  9 F 2.96-3.14
O  0.1137  0.1137  0.1137  9 F 2.96-3.14
F  0.4234  0.4234  0.9156  2 Tl 2.21-2.23
F  0.0844  0.5766  0.5766  2 Tl 2.21-2.23
F  0.5766  0.0844  0.5766  2 Tl 2.21-2.23
F  0.5766  0.5766  0.0844  2 Tl 2.21-2.23
F  0.9156  0.4234  0.4234  2 Tl 2.21-2.23
F  0.4234  0.9156  0.4234  2 Tl 2.21-2.23

Properties
Total magnetic moment = 4.000 μB/cell
DFT total energy = -3.380 eV per atom
Uncorrected formation energy = -76.4 kJ/mol of atoms
Crystal system = trigonal